The following is a GGA-PBE calculation of an optimized crystal structure of CaPr8In6, from Alexandria.

Cell: 9.3750 9.3750 19.9733 Å, 90.00 90.00 120.00°
Space group R-3 (No. 148, hexagonal axes)
Unique sites:
Ca 0.0000 0.0000 0.0000 x3
Pr 0.0000 0.0000 0.3359 x6
Pr 0.0006 0.3303 0.1145 x18
In 0.0010 0.3360 0.6125 x18

**DOS at the Fermi energy**: 1.44 states/eV per atom
**Formation energy from the elements**: -3.8 eV per formula unit

***

The following is a GGA-PBE calculation of an optimized crystal structure of CaPrIn, from Alexandria.

Cell: 9.336 5.394 7.840 Å, 90.00 90.06 90.00°
Space group C2/m (No. 12)
Unique sites:
Ca 0.167 0.000 0.379 x4
Pr 0.166 0.000 0.897 x4
In 0.000 0.500 0.215 x4

**DOS at the Fermi energy**: 0.41 states/eV per atom
**Formation energy from the elements**: -0.8 eV per formula unit
**Polymorph energy (0 for the lowest one)**: 170 meV/atom